Here is an optimized crystal structure of LiY2Ge4Ir3 from Alexandria via LeMat-Bulk. Energies are from PBE.

Lattice parameters (Å, degrees): 4.252 4.252 10.089 90.00 90.00 90.00
Space group P-4m2 (No. 115)
Inequivalent atoms, fractional coordinates:
Li 0.000 0.000 0.000 (multiplicity 1)
Y 0.000 0.500 0.744 (multiplicity 2)
Ge 0.000 0.000 0.500 (multiplicity 1)
Ge 0.000 0.500 0.131 (multiplicity 2)
Ge 0.500 0.500 0.500 (multiplicity 1)
Ir 0.000 0.500 0.372 (multiplicity 2)
Ir 0.500 0.500 0.000 (multiplicity 1)

Calculated values
Energy of formation, meV per atom: -709
Magnetic moment, μB/f.u.: 0.00
Volume, Å³/atom: 18.24
Density of states at the Fermi level, states/eV/f.u.: 4.9

=====

Here is an optimized crystal structure of Cs2PrNpO6 from Alexandria via LeMat-Bulk. Energies are from PBE.

Lattice parameters (Å, degrees): 8.993 8.993 8.993 90.00 90.00 90.00
Space group Fm-3m (No. 225)
Inequivalent atoms, fractional coordinates:
Cs 0.250 0.250 0.250 (multiplicity 8)
Pr 0.000 0.000 0.000 (multiplicity 4)
Np 0.000 0.000 0.500 (multiplicity 4)
O 0.000 0.000 0.272 (multiplicity 24)

Calculated values
Formation energy without anion corrections, eV/atom: -2.563
Magnetic moment, μB/f.u.: 0.00
Volume, Å³/atom: 18.18

=====

Energy values, unit eV per atom, following the record order: -6.70; -7.48.